Compound: KCuSn3
Source: Alexandria
Functional: PBE
Structure: optimized geometry

## Properties
The formation energy is 1476 meV per atom.

CIF file:
```
data_KCuSn3
_chemical_formula_sum 'K1 Cu1 Sn3'
_space_group_name_H-M_alt 'P m -3 m'
_space_group_IT_number 221
_space_group_name_Hall '-P 4 2 3'
_cell_length_a 5.896
_cell_length_b 5.896
_cell_length_c 5.896
_cell_angle_alpha 90.00
_cell_angle_beta 90.00
_cell_angle_gamma 90.00
loop_
_atom_site_label
_atom_site_fract_x
_atom_site_fract_y
_atom_site_fract_z
K1 0.000 0.000 0.000
Cu1 0.500 0.500 0.500
Sn1 0.000 0.000 0.500
```


Compound: CeNb
Source: Alexandria
Functional: PBE
Structure: optimized geometry

## Properties
The formation energy is 131 meV per atom.

CIF file:
```
data_CeNb
_chemical_formula_sum 'Ce2 Nb2'
_space_group_name_H-M_alt 'P 1 21/m 1'
_space_group_IT_number 11
_cell_length_a 3.277
_cell_length_b 4.648
_cell_length_c 5.924
_cell_angle_alpha 90.00
_cell_angle_beta 103.33
_cell_angle_gamma 90.00
loop_
_space_group_symop_operation_xyz
'x,y,z'
'-x,-y,-z'
'-x,y+1/2,-z'
'x,-y+1/2,z'
loop_
_atom_site_label
_atom_site_fract_x
_atom_site_fract_y
_atom_site_fract_z
Ce1 0.247 0.250 0.145
Nb1 0.228 0.250 0.592
```


Compound: NaLiGaSb
Source: Alexandria
Functional: PBE
Structure: optimized geometry

## Properties
The calculation puts the raw formation energy at -0.28 eV per atom.

CIF file:
```
data_NaLiGaSb
_chemical_formula_sum 'Na4 Li4 Ga4 Sb4'
_space_group_name_H-M_alt 'F -4 3 m'
_space_group_IT_number 216
_space_group_name_Hall 'F -4 2 3'
_cell_length_a 7.097
_cell_length_b 7.097
_cell_length_c 7.097
_cell_angle_alpha 90.00
_cell_angle_beta 90.00
_cell_angle_gamma 90.00
loop_
_atom_site_label
_atom_site_fract_x
_atom_site_fract_y
_atom_site_fract_z
Na1 0.000 0.000 0.000
Li1 0.000 0.000 0.500
Ga1 0.250 0.250 0.250
Sb1 0.250 0.250 0.750
```


Compound: Zn2PCl
Source: Alexandria
Functional: PBE
Structure: optimized geometry

## Properties
The calculation puts the raw formation energy at 0.14 eV per atom.

CIF file:
```
data_Zn2PCl
_chemical_formula_sum 'Zn4 P2 Cl2'
_space_group_name_H-M_alt 'I m m 2'
_space_group_IT_number 44
_cell_length_a 2.859
_cell_length_b 5.650
_cell_length_c 9.311
_cell_angle_alpha 90.00
_cell_angle_beta 90.00
_cell_angle_gamma 90.00
loop_
_space_group_symop_operation_xyz
'x,y,z'
'-x,-y,z'
'-x,y,z'
'x,-y,z'
'x+1/2,y+1/2,z+1/2'
'-x+1/2,-y+1/2,z+1/2'
'-x+1/2,y+1/2,z+1/2'
'x+1/2,-y+1/2,z+1/2'
loop_
_atom_site_label
_atom_site_fract_x
_atom_site_fract_y
_atom_site_fract_z
Zn1 0.000 0.000 0.000
Zn2 0.000 0.500 0.262
P1 0.000 0.000 0.541
Cl1 0.000 0.500 0.716
```


Compound: Na3HfCr2Te6
Source: Alexandria
Functional: PBE
Structure: optimized geometry

## Properties
The calculation puts the raw formation energy at -0.61 eV per atom.

CIF file:
```
data_Na3HfCr2Te6
_chemical_formula_sum 'Na6 Hf2 Cr4 Te12'
_space_group_name_H-M_alt 'C 1 2/m 1'
_space_group_IT_number 12
_cell_length_a 7.151
_cell_length_b 12.385
_cell_length_c 7.899
_cell_angle_alpha 90.00
_cell_angle_beta 107.63
_cell_angle_gamma 90.00
loop_
_space_group_symop_operation_xyz
'x,y,z'
'-x,-y,-z'
'-x,y,-z'
'x,-y,z'
'x+1/2,y+1/2,z'
'-x+1/2,-y+1/2,-z'
'-x+1/2,y+1/2,-z'
'x+1/2,-y+1/2,z'
loop_
_atom_site_label
_atom_site_fract_x
_atom_site_fract_y
_atom_site_fract_z
Na1 0.000 0.000 0.000
Na2 0.000 0.336 0.000
Hf1 0.000 0.500 0.500
Cr1 0.000 0.167 0.500
Te1 0.228 0.000 0.709
Te2 0.241 0.329 0.709
```


Compound: InAgAu
Source: Alexandria
Functional: PBE
Structure: optimized geometry

## Properties
The formation energy is -88 meV per atom.

CIF file:
```
data_InAgAu
_chemical_formula_sum 'In4 Ag4 Au4'
_space_group_name_H-M_alt 'P n m a'
_space_group_IT_number 62
_cell_length_a 8.965
_cell_length_b 4.933
_cell_length_c 5.408
_cell_angle_alpha 90.00
_cell_angle_beta 90.00
_cell_angle_gamma 90.00
loop_
_space_group_symop_operation_xyz
'x,y,z'
'-x,-y,-z'
'-x+1/2,-y,z+1/2'
'x+1/2,y,-z+1/2'
'x+1/2,-y+1/2,-z+1/2'
'-x+1/2,y+1/2,z+1/2'
'-x,y+1/2,-z'
'x,-y+1/2,z'
loop_
_atom_site_label
_atom_site_fract_x
_atom_site_fract_y
_atom_site_fract_z
In1 0.246 0.250 0.010
Ag1 0.075 0.250 0.543
Au1 0.086 0.750 0.963
```


Compound: TaMn2NbH
Source: Alexandria
Functional: PBE
Structure: optimized geometry

CIF file:
```
data_TaMn2NbH
_chemical_formula_sum 'Ta1 Mn2 Nb1 H1'
_space_group_name_H-M_alt 'P 4/m m m'
_space_group_IT_number 123
_space_group_name_Hall '-P 4 2'
_cell_length_a 4.093
_cell_length_b 4.093
_cell_length_c 3.700
_cell_angle_alpha 90.00
_cell_angle_beta 90.00
_cell_angle_gamma 90.00
loop_
_atom_site_label
_atom_site_fract_x
_atom_site_fract_y
_atom_site_fract_z
Ta1 0.000 0.000 0.000
Mn1 0.000 0.500 0.500
Nb1 0.500 0.500 0.000
H1 0.500 0.500 0.500
```


| no. | V (Å³ per cell) | DOS(E_F) (states/eV per atom) | raw total energy (Ry per atom) |
| --- | --- | --- | --- |
| 1 | 205 | 0.662 | -0.144 |
| 2 | 88 | 1.595 | -0.578 |
| 3 | 357 | 0.001 | -0.211 |
| 4 | 150 | 0.340 | -0.170 |
| 5 | 667 | 0.368 | -0.363 |
| 6 | 239 | 0.341 | -0.224 |
| 7 | 62 | 0.887 | -0.633 |